Entry from Alexandria via LeMat-Bulk: a geometry-optimized PmPr2Sm structure (GGA-PBE).

* space-group type: No. 123
* final energy: -19.0 eV for the cell shown
* calculated formation energy: 14 meV per atom

Unit cell a=5.1889 b=5.2009 c=5.2009 alpha=90.00 beta=90.00 gamma=90.00
Last column: nearest neighbours and their distance in Å.
Fractional positions:
Pr: 0.0000 0.0000 0.5000  4 Pm 3.67, 4 Sm 3.67, 4 Pr 3.68
Pr: 0.0000 0.5000 0.0000  4 Pm 3.67, 4 Sm 3.67, 4 Pr 3.68
Sm: 0.5000 0.0000 0.0000  8 Pr 3.67, 4 Pm 3.68
Pm: 0.5000 0.5000 0.5000  8 Pr 3.67, 4 Sm 3.68


Entry from Alexandria via LeMat-Bulk: a geometry-optimized Pm4Pr2Sm3 structure (GGA-PBE).

* space-group type: No. 14
* final energy: -82.5 eV for the cell shown
* calculated formation energy: 163 meV per atom

Unit cell a=8.9062 b=8.7067 c=8.7772 alpha=90.00 beta=90.00 gamma=112.37
Last column: nearest neighbours and their distance in Å.
Fractional positions:
Pm: 0.3528 0.4746 0.3637  5 Sm 3.29-3.47, 1 Pm 3.45, 2 Pr 3.49-3.66
Sm: 0.0000 0.5000 0.5000  6 Pm 3.42-3.45, 2 Sm 3.72
Pm: 0.1382 0.9225 0.4657  4 Sm 3.24-3.45, 1 Pm 3.28, 1 Pr 3.59
Sm: 0.2509 0.7513 0.1816  6 Pm 3.24-3.47
Pm: 0.1472 0.5254 0.8637  5 Sm 3.29-3.47, 1 Pm 3.45, 2 Pr 3.49-3.66
Pr: 0.5500 0.1755 0.3491  7 Pm 3.49-3.80, 1 Pr 3.88
Sm: 0.2491 0.2487 0.6816  6 Pm 3.24-3.47
Sm: 0.7509 0.7513 0.3184  6 Pm 3.24-3.47
Pm: 0.8528 0.4746 0.1363  5 Sm 3.29-3.47, 1 Pm 3.45, 2 Pr 3.49-3.66
Pm: 0.8618 0.0775 0.5343  4 Sm 3.24-3.45, 1 Pm 3.28, 1 Pr 3.59
Sm: 0.5000 0.5000 0.0000  6 Pm 3.42-3.45, 2 Sm 3.72
Sm: 0.7491 0.2487 0.8184  6 Pm 3.24-3.47
Pr: 0.9500 0.8245 0.8491  7 Pm 3.49-3.80, 1 Pr 3.88
Pr: 0.4500 0.8245 0.6509  7 Pm 3.49-3.80, 1 Pr 3.88
Pm: 0.6382 0.9225 0.0343  4 Sm 3.24-3.45, 1 Pm 3.28, 1 Pr 3.59
Pm: 0.3618 0.0775 0.9657  4 Sm 3.24-3.45, 1 Pm 3.28, 1 Pr 3.59
Pr: 0.0500 0.1755 0.1509  7 Pm 3.49-3.80, 1 Pr 3.88
Pm: 0.6472 0.5254 0.6363  5 Sm 3.29-3.47, 1 Pm 3.45, 2 Pr 3.49-3.66


Entry from Alexandria via LeMat-Bulk: a geometry-optimized Pm6Pr3Sm structure (GGA-PBE).

* space-group type: No. 36
* final energy: -92.4 eV for the cell shown
* calculated formation energy: 134 meV per atom

Unit cell a=6.5079 b=11.1912 c=11.1912 alpha=120.74 beta=90.00 gamma=90.00
Last column: nearest neighbours and their distance in Å.
Fractional positions:
Pr: 0.0830 0.3846 0.6154  7 Pm 3.51-3.89, 2 Pr 3.67, 1 Sm 3.79
Pm: 0.8576 0.0343 0.9657  1 Sm 3.45, 2 Pm 3.52, 4 Pr 3.60-3.61
Pr: 0.9621 0.0587 0.2931  1 Sm 3.32, 6 Pm 3.36-3.61, 1 Pr 3.67
Sm: 0.1113 0.1899 0.8101  2 Pr 3.32, 6 Pm 3.34-3.69
Pm: 0.1497 0.7225 0.2775  4 Pm 3.17-3.54, 1 Sm 3.45, 1 Pr 3.51
Pm: 0.0565 0.3712 0.2879  3 Pr 3.47-3.59, 5 Pm 3.52-3.87
Pm: 0.5565 0.2879 0.3712  3 Pr 3.47-3.59, 5 Pm 3.52-3.87
Pm: 0.6497 0.2775 0.7225  4 Pm 3.17-3.54, 1 Sm 3.45, 1 Pr 3.51
Pm: 0.3733 0.5266 0.9429  3 Pm 3.17-3.54, 1 Sm 3.34, 2 Pr 3.36-3.51
Pr: 0.5830 0.6154 0.3846  7 Pm 3.51-3.89, 2 Pr 3.67, 1 Sm 3.79
Sm: 0.6113 0.8101 0.1899  2 Pr 3.32, 6 Pm 3.34-3.69
Pr: 0.9621 0.7069 0.9413  1 Sm 3.32, 6 Pm 3.36-3.61, 1 Pr 3.67
Pr: 0.4621 0.9413 0.7069  1 Sm 3.32, 6 Pm 3.36-3.61, 1 Pr 3.67
Pm: 0.0565 0.7121 0.6288  3 Pr 3.47-3.59, 5 Pm 3.52-3.87
Pm: 0.5565 0.6288 0.7121  3 Pr 3.47-3.59, 5 Pm 3.52-3.87
Pr: 0.4621 0.2931 0.0587  1 Sm 3.32, 6 Pm 3.36-3.61, 1 Pr 3.67
Pm: 0.3733 0.0571 0.4734  3 Pm 3.17-3.54, 1 Sm 3.34, 2 Pr 3.36-3.51
Pm: 0.8733 0.4734 0.0571  3 Pm 3.17-3.54, 1 Sm 3.34, 2 Pr 3.36-3.51
Pm: 0.3576 0.9657 0.0343  1 Sm 3.45, 2 Pm 3.52, 4 Pr 3.60-3.61
Pm: 0.8733 0.9429 0.5266  3 Pm 3.17-3.54, 1 Sm 3.34, 2 Pr 3.36-3.51


Entry from Alexandria via LeMat-Bulk: a geometry-optimized PmPr2Sm9 structure (GGA-PBE).

* space-group type: No. 123
* final energy: -56.6 eV for the cell shown
* calculated formation energy: 16 meV per atom

Unit cell a=5.1507 b=5.1507 c=15.4526 alpha=90.00 beta=90.00 gamma=90.00
Last column: nearest neighbours and their distance in Å.
Fractional positions:
Sm: 0.5000 0.5000 0.3328  4 Pr 3.64, 8 Sm 3.65
Sm: 0.5000 0.0000 0.8343  8 Sm 3.63-3.65, 2 Pm 3.63, 2 Pr 3.65
Sm: 0.0000 0.5000 0.1657  2 Pm 3.63, 8 Sm 3.63-3.65, 2 Pr 3.65
Sm: 0.5000 0.5000 0.0000  8 Sm 3.63, 4 Pm 3.64
Pr: 0.0000 0.0000 0.6671  12 Sm 3.64-3.65
Sm: 0.5000 0.5000 0.6672  4 Pr 3.64, 8 Sm 3.65
Pr: 0.0000 0.0000 0.3329  12 Sm 3.64-3.65
Sm: 0.5000 0.0000 0.1657  8 Sm 3.63-3.65, 2 Pm 3.63, 2 Pr 3.65
Sm: 0.0000 0.5000 0.8343  2 Pm 3.63, 8 Sm 3.63-3.65, 2 Pr 3.65
Sm: 0.5000 0.0000 0.5000  8 Sm 3.64-3.65, 4 Pr 3.65
Sm: 0.0000 0.5000 0.5000  8 Sm 3.64-3.65, 4 Pr 3.65
Pm: 0.0000 0.0000 0.0000  12 Sm 3.63-3.64


Entry from Alexandria via LeMat-Bulk: a geometry-optimized Pm3PrSm2 structure (GGA-PBE).

* space-group type: No. 63
* final energy: -54.7 eV for the cell shown
* calculated formation energy: 185 meV per atom

Unit cell a=6.8321 b=7.7437 c=7.7437 alpha=89.94 beta=90.00 gamma=90.00
Last column: nearest neighbours and their distance in Å.
Fractional positions:
Pm: 0.5000 0.2507 0.7493  4 Sm 3.39-3.40, 4 Pm 3.39-3.42, 2 Pr 3.42
Pr: 0.2500 0.1006 0.1006  5 Pm 3.32-3.42
Sm: 0.7500 0.0963 0.4048  1 Sm 3.38, 4 Pm 3.39-3.40
Pm: 0.5000 0.7493 0.2507  4 Sm 3.39-3.40, 4 Pm 3.39-3.42, 2 Pr 3.42
Sm: 0.7500 0.4048 0.0963  1 Sm 3.38, 4 Pm 3.39-3.40
Pm: 0.7500 0.5968 0.5968  1 Pr 3.32, 4 Pm 3.39
Pm: 0.2500 0.4032 0.4032  1 Pr 3.32, 4 Pm 3.39
Pm: 0.0000 0.7493 0.2507  4 Sm 3.39-3.40, 4 Pm 3.39-3.42, 2 Pr 3.42
Pm: 0.0000 0.2507 0.7493  4 Sm 3.39-3.40, 4 Pm 3.39-3.42, 2 Pr 3.42
Sm: 0.2500 0.5952 0.9037  1 Sm 3.38, 4 Pm 3.39-3.40
Pr: 0.7500 0.8994 0.8994  5 Pm 3.32-3.42
Sm: 0.2500 0.9037 0.5952  1 Sm 3.38, 4 Pm 3.39-3.40


Entry from Alexandria via LeMat-Bulk: a geometry-optimized Pm4PrSm structure (GGA-PBE).

* space-group type: No. 216
* final energy: -27.0 eV for the cell shown
* calculated formation energy: 255 meV per atom

Unit cell a=6.7138 b=6.7138 c=6.7138 alpha=60.00 beta=60.00 gamma=60.00
Last column: nearest neighbours and their distance in Å.
Fractional positions:
Pm: 0.1260 0.6246 0.6246  6 Pm 3.35-3.37
Pr: 0.0000 0.0000 0.0000  12 Pm 3.94, 4 Sm 4.11
Pm: 0.6247 0.6246 0.6246  6 Pm 3.35-3.37
Pm: 0.6247 0.1260 0.6246  6 Pm 3.35-3.37
Sm: 0.2500 0.2500 0.2500  12 Pm 3.94, 4 Pr 4.11
Pm: 0.6247 0.6246 0.1260  6 Pm 3.35-3.37


Entry from Alexandria via LeMat-Bulk: a geometry-optimized Pm6Pr3Sm structure (GGA-PBE).

* space-group type: No. 12
* final energy: -45.1 eV for the cell shown
* calculated formation energy: 249 meV per atom

Unit cell a=7.0945 b=13.0597 c=6.8075 alpha=129.40 beta=121.40 gamma=90.00
Last column: nearest neighbours and their distance in Å.
Fractional positions:
Pm: 0.3306 0.9923 0.6612  2 Pr 3.34-3.70, 4 Pm 3.42-3.47
Pm: 0.7147 0.6886 0.8868  4 Pm 3.24-3.47, 2 Pr 3.24-3.61, 1 Sm 3.55
Pr: 0.1960 0.6603 0.3921  1 Pr 3.15, 3 Pm 3.24-3.34
Pr: 0.0000 0.0000 0.0000  10 Pm 3.92-4.02
Pm: 0.2853 0.3114 0.1132  4 Pm 3.24-3.47, 2 Pr 3.24-3.61, 1 Sm 3.55
Pm: 0.1720 0.6886 0.8868  4 Pm 3.24-3.47, 2 Pr 3.24-3.61, 1 Sm 3.55
Pm: 0.8280 0.3114 0.1132  4 Pm 3.24-3.47, 2 Pr 3.24-3.61, 1 Sm 3.55
Pm: 0.6694 0.0077 0.3388  2 Pr 3.34-3.70, 4 Pm 3.42-3.47
Pr: 0.8040 0.3397 0.6079  1 Pr 3.15, 3 Pm 3.24-3.34
Sm: 0.5000 0.5000 0.0000  4 Pm 3.55, 4 Pr 3.88


Entry from Alexandria via LeMat-Bulk: a geometry-optimized PmPr12Sm6 structure (GGA-PBE).

* space-group type: No. 204
* final energy: -86.8 eV for the cell shown
* calculated formation energy: 192 meV per atom

Unit cell a=9.5833 b=9.5833 c=9.5833 alpha=109.47 beta=109.47 gamma=109.47
Last column: nearest neighbours and their distance in Å.
Fractional positions:
Pr: 0.7369 0.9348 0.1979  1 Sm 3.16
Pr: 0.8021 0.7369 0.5390  1 Sm 3.16
Sm: 0.1431 0.6431 0.5000  2 Pr 3.16, 1 Sm 3.17
Pr: 0.2631 0.4610 0.1979  1 Sm 3.16
Pr: 0.4610 0.1979 0.2631  1 Sm 3.16
Pm: 0.0000 0.0000 0.0000  12 Pr 3.64
Sm: 0.5000 0.1431 0.6431  2 Pr 3.16, 1 Sm 3.17
Sm: 0.8569 0.3569 0.5000  2 Pr 3.16, 1 Sm 3.17
Pr: 0.8021 0.2631 0.0652  1 Sm 3.16
Pr: 0.5390 0.8021 0.7369  1 Sm 3.16
Pr: 0.7369 0.5390 0.8021  1 Sm 3.16
Pr: 0.1979 0.7369 0.9348  1 Sm 3.16
Pr: 0.9348 0.1979 0.7369  1 Sm 3.16
Pr: 0.0652 0.8021 0.2631  1 Sm 3.16
Sm: 0.5000 0.8569 0.3569  2 Pr 3.16, 1 Sm 3.17
Sm: 0.6431 0.5000 0.1431  2 Pr 3.16, 1 Sm 3.17
Pr: 0.2631 0.0652 0.8021  1 Sm 3.16
Sm: 0.3569 0.5000 0.8569  2 Pr 3.16, 1 Sm 3.17
Pr: 0.1979 0.2631 0.4610  1 Sm 3.16


no.,V (Å³/atom),distance to the lowest polymorph of the same formula (meV/atom)
1,35.1,3
2,35.0,105
3,35.0,0
4,34.2,0
5,34.1,43
6,35.7,240
7,36.0,115
8,35.7,0